#a
Li3MoCl after structural relaxation. Source: the Alexandria database, functional PBE.

a b c (Å): 4.696 4.696 4.696
angles (deg): 90.00 90.00 90.00
Sites, in units of the cell vectors:
Cl 0.000 0.000 0.000
Li 0.500 0.000 0.000
Li 0.000 0.000 0.500
Li 0.000 0.500 0.000
Mo 0.500 0.500 0.500

#b
Li3MoCl after structural relaxation. Source: the Alexandria database, functional PBE.

a b c (Å): 5.288 5.288 5.288
angles (deg): 90.00 90.00 90.00
Sites, in units of the cell vectors:
Li 0.000 0.500 0.000
Li 0.500 0.000 0.000
Li 0.000 0.000 0.500
Mo 0.000 0.000 0.000
Cl 0.500 0.500 0.500

Relative energies, unit kJ/mol of atoms: #a 0.0; #b 58.1

#a
LiMo3Cl after structural relaxation. Source: the Alexandria database, functional PBE.

a b c (Å): 4.425 4.425 4.425
angles (deg): 90.00 90.00 90.00
Sites, in units of the cell vectors:
Li 0.500 0.500 0.500
Mo 0.500 0.000 0.000
Mo 0.000 0.500 0.000
Mo 0.000 0.000 0.500
Cl 0.000 0.000 0.000

#b
LiMo3Cl after structural relaxation. Source: the Alexandria database, functional PBE.

a b c (Å): 4.331 4.331 4.331
angles (deg): 90.00 90.00 90.00
Sites, in units of the cell vectors:
Mo 0.000 0.500 0.000
Mo 0.500 0.000 0.000
Mo 0.000 0.000 0.500
Li 0.000 0.000 0.000
Cl 0.500 0.500 0.500

Relative energies, unit kJ/mol of atoms: #a 0.0; #b 75.5

#a
LiVMo2Cl after structural relaxation. Source: the Alexandria database, functional PBE.

a b c (Å): 4.575 5.006 4.575
angles (deg): 90.00 90.00 90.00
Sites, in units of the cell vectors:
V 0.000 0.000 0.000
Li 0.500 0.500 0.500
Mo 0.000 0.000 0.500
Mo 0.500 0.000 0.000
Cl 0.000 0.500 0.000

#b
LiVMo2Cl after structural relaxation. Source: the Alexandria database, functional PBE.

a b c (Å): 4.440 4.262 4.440
angles (deg): 90.00 90.00 90.00
Sites, in units of the cell vectors:
Mo 0.500 0.000 0.000
Mo 0.000 0.000 0.500
V 0.000 0.500 0.000
Cl 0.000 0.000 0.000
Li 0.500 0.500 0.500

Relative energies, unit kJ/mol of atoms: #a 18.7; #b 0.0

#a
Li7N2Cl after structural relaxation. Source: the Alexandria database, functional PBE.

a b c (Å): 3.830 6.160 6.160
angles (deg): 116.43 90.00 90.00
Sites, in units of the cell vectors:
Li 0.500 0.964 0.656
Li 0.500 0.656 0.964
Li 0.500 0.344 0.036
Li 0.000 0.311 0.689
Li 0.000 0.689 0.311
Li 0.500 0.500 0.500
Li 0.500 0.036 0.344
Cl 0.000 0.000 0.000
N 0.500 0.313 0.687
N 0.500 0.687 0.313

#b
Li7N2Cl after structural relaxation. Source: the Alexandria database, functional PBE.

a b c (Å): 3.650 3.650 10.748
angles (deg): 80.22 80.22 60.00
Sites, in units of the cell vectors:
N 0.062 0.062 0.815
N 0.938 0.938 0.185
Li 0.278 0.278 0.165
Li 0.123 0.123 0.632
Li 0.722 0.722 0.835
Li 0.000 0.000 0.000
Li 0.400 0.400 0.799
Li 0.600 0.600 0.201
Li 0.877 0.877 0.368
Cl 0.500 0.500 0.500

Relative energies, unit kJ/mol of atoms: #a 1.8; #b 0.0

#a
LiNCl3 after structural relaxation. Source: the Alexandria database, functional PBE.

a b c (Å): 4.467 4.467 4.467
angles (deg): 90.00 90.00 90.00
Sites, in units of the cell vectors:
N 0.000 0.000 0.000
Cl 0.000 0.500 0.000
Cl 0.500 0.000 0.000
Cl 0.000 0.000 0.500
Li 0.500 0.500 0.500

#b
LiNCl3 after structural relaxation. Source: the Alexandria database, functional PBE.

a b c (Å): 4.854 4.854 4.854
angles (deg): 90.00 90.00 90.00
Sites, in units of the cell vectors:
Li 0.000 0.000 0.000
Cl 0.500 0.000 0.000
Cl 0.000 0.500 0.000
Cl 0.000 0.000 0.500
N 0.500 0.500 0.500

Relative energies, unit kJ/mol of atoms: #a 0.0; #b 41.4

#a
Li4NCl after structural relaxation. Source: the Alexandria database, functional PBE.

a b c (Å): 4.923 6.554 5.815
angles (deg): 105.97 90.00 90.00
Sites, in units of the cell vectors:
Li 0.150 0.779 0.611
Li 0.768 0.581 0.788
Li 0.268 0.419 0.712
Li 0.650 0.221 0.889
Li 0.350 0.779 0.111
Li 0.850 0.221 0.389
Li 0.232 0.419 0.212
Li 0.732 0.581 0.288
Cl 0.500 0.000 0.500
Cl 0.000 0.000 0.000
N 0.500 0.500 0.000
N 0.000 0.500 0.500

#b
Li4NCl after structural relaxation. Source: the Alexandria database, functional PBE.

a b c (Å): 3.425 5.125 5.125
angles (deg): 90.08 90.00 90.00
Sites, in units of the cell vectors:
Cl 0.500 0.000 0.000
Li 0.500 0.348 0.652
Li 0.000 0.237 0.237
Li 0.000 0.763 0.763
Li 0.500 0.652 0.348
N 0.000 0.500 0.500

Relative energies, unit kJ/mol of atoms: #a 0.0; #b 4.7